Density functional theory data (PBE) for a relaxed structure of LaTb2PmY2.

Cell: 3.444 6.649 17.922 Å, 90.00 90.00 90.00°
Atoms (fractional coordinates):
Y 0.000 0.770 0.316
Pm 0.500 0.500 0.000
Tb 0.000 0.730 0.650
Y 0.000 0.230 0.684
La 0.500 0.500 0.500
Tb 0.500 0.230 0.850
Y 0.500 0.730 0.816
Pm 0.000 0.000 0.500
Y 0.500 0.270 0.184
La 0.000 0.000 0.000
Tb 0.000 0.270 0.350
Tb 0.500 0.770 0.150

Values from the calculation:
Electronic total energy ... -5.05 eV per atom
Spin magnetization ... 0.00 μB/f.u.
DFT formation energy ... 0.264 eV per atom
Symmetry ... Pnnm